Here is a relaxed structure of Nd6Hg3Au from the Alexandria database. Energies are from GGA-PBE.

The structure belongs to space group P2_1/m (No. 11); the cell edges are 9.753, 5.262 and 12.050 Å and the angles 90.00°, 108.57° and 90.00°. Symmetry generates all atoms from Nd at (0.014, 0.250, 0.401), Nd at (0.155, 0.750, 0.189), Nd at (0.230, 0.250, 0.008), Nd at (0.376, 0.250, 0.352), Nd at (0.380, 0.750, 0.854), Nd at (0.383, 0.250, 0.631), Hg at (0.036, 0.750, 0.876), Hg at (0.131, 0.250, 0.730), Hg at (0.268, 0.750, 0.476) and Au at (0.424, 0.750, 0.118).

Its density of states at the Fermi level is 19.3 states/eV/cell. The calculation puts the total DFT energy (no corrections) at -3.6862 eV/atom. The formation energy from the elements is -4.07 eV/f.u. The total magnetization is 0.000 μB per formula unit.